Entry 1:
## KCdAsRh (GGA-PBE)

Data for KCdAsRh after structural relaxation.

Results
Symmetry = P4/nmm, No. 129
Calculated formation energy = -1.62 eV/f.u.

```
KCdAsRh
1.0
4.078 0.000 0.000
0.000 4.078 0.000
0.000 0.000 12.844
K Cd As Rh
2 2 2 2
direct
0.750 0.750 0.249
0.250 0.250 0.751
0.250 0.750 0.500
0.750 0.250 0.500
0.750 0.750 0.892
0.250 0.250 0.108
0.750 0.250 0.000
0.250 0.750 0.000
```


Entry 2:
## KCd2AsRh (GGA-PBE)

Data for KCd2AsRh after structural relaxation.

Results
Symmetry = P4/mmm, No. 123
Calculated formation energy = -0.77 eV/f.u.

```
KCd2AsRh
1.0
-1.401 -1.067 -4.998
-3.955 -3.055 1.761
-2.903 3.764 0.010
As Rh K Cd
1 1 1 2
direct
0.000 0.000 0.500
0.000 0.000 0.000
0.500 0.500 0.500
0.000 0.500 0.000
0.500 0.000 0.000
```


Entry 3:
## KCdSbAs2 (GGA-PBE)

Data for KCdSbAs2 after structural relaxation.

Results
Raw formation energy = -0.151 eV per atom
ΔE to the lowest computed polymorph = 0.0000 eV/atom
Symmetry = C2/m, No. 12

```
KCdSbAs2
1.0
-0.084 1.901 -4.028
-6.721 -5.322 0.092
-4.461 7.576 3.668
K Cd Sb As
2 2 2 4
direct
0.324 0.647 0.331
0.676 0.353 0.669
0.699 0.397 0.049
0.301 0.603 0.951
0.072 0.144 0.186
0.928 0.856 0.814
0.348 0.696 0.686
0.652 0.304 0.314
0.121 0.242 0.921
0.879 0.758 0.079
```


Entry 4:
## KCdSbAs2 (GGA-PBE)

Data for KCdSbAs2 after structural relaxation.

Results
Raw formation energy = 1.265 eV per atom
ΔE to the lowest computed polymorph = 1.4162 eV/atom
Symmetry = P4/mmm, No. 123

```
KCdSbAs2
1.0
-2.940 0.045 -4.632
4.070 -2.699 -2.609
-2.279 -4.791 1.400
Sb As K Cd
1 2 1 1
direct
0.500 0.500 0.500
0.000 0.000 0.500
0.500 0.000 0.000
0.000 0.000 0.000
0.000 0.500 0.000
```


Entry 5:
## KScCdAs2 (GGA-PBE)

Data for KScCdAs2 after structural relaxation.

Results
Symmetry = P4/mmm, No. 123
Calculated formation energy = 2.14 eV/f.u.

```
KScCdAs2
1.0
-2.167 4.789 -1.180
-4.237 -2.422 -2.049
-2.394 0.105 4.825
Sc As K Cd
1 2 1 1
direct
0.000 0.500 0.000
0.000 0.000 0.500
0.500 0.000 0.000
0.500 0.500 0.500
0.000 0.000 0.000
```


Entry 6:
## KSc2CdAs (GGA-PBE)

Data for KSc2CdAs after structural relaxation.

Results
Symmetry = P4/mmm, No. 123
Calculated formation energy = 6.03 eV/f.u.

```
KSc2CdAs
1.0
5.005 0.000 0.000
0.000 5.351 0.000
0.000 0.000 5.005
Sc As K Cd
2 1 1 1
direct
0.000 0.000 0.500
0.500 0.000 0.000
0.000 0.500 0.000
0.000 0.000 0.000
0.500 0.500 0.500
```


Entry 7:
## KCdAsSe2 (GGA-PBE)

Data for KCdAsSe2 after structural relaxation.

Results
Raw formation energy = 0.060 eV per atom
ΔE to the lowest computed polymorph = 0.0000 eV/atom
Symmetry = P4/mmm, No. 123

```
KCdAsSe2
1.0
5.454 0.000 0.000
0.000 5.454 0.000
0.000 0.000 5.150
As K Se Cd
1 1 2 1
direct
0.000 0.000 0.500
0.500 0.500 0.500
0.000 0.500 0.000
0.500 0.000 0.000
0.000 0.000 0.000
```


Entry 8:
## KCdAsSe3 (GGA-PBE)

Data for KCdAsSe3 after structural relaxation.

Results
Raw formation energy = -0.580 eV per atom
Symmetry = P2_1/m, No. 11

```
KCdAsSe3
1.0
4.135 0.000 0.000
0.000 8.936 0.686
0.000 -3.613 9.458
K Cd As Se
2 2 2 6
direct
0.250 0.210 0.245
0.750 0.790 0.755
0.250 0.099 0.618
0.750 0.901 0.382
0.250 0.663 0.109
0.750 0.337 0.891
0.750 0.863 0.110
0.250 0.137 0.890
0.250 0.780 0.483
0.750 0.220 0.517
0.750 0.454 0.138
0.250 0.546 0.862
```


Electronic total energy in eV per atom, matching the order above: -3.9096, -3.1403, -3.2378, -1.8216, -3.1009, -2.6595, -2.6662, -3.4323
Calculated volume in Å³ per atom, matching the order above: 26.69, 26.69, 34.85, 33.34, 30.72, 26.81, 30.64, 29.98